No. 1
# Nd4Ge3Pd (PBE, relaxed)
# D(E_F) ... 7.01 states/eV/cell
# Energy of formation ... -0.81 eV per atom
data_Nd4Ge3Pd
_chemical_formula_sum 'Nd4 Ge3 Pd1'
_cell_length_a 4.212
_cell_length_b 4.313
_cell_length_c 11.212
_cell_angle_alpha 90.00
_cell_angle_beta 90.00
_cell_angle_gamma 90.00
_symmetry_space_group_name_H-M 'P m m 2'
_symmetry_Int_Tables_number 25
loop_
_symmetry_equiv_pos_as_xyz
'x,y,z'
'-x,-y,z'
'-x,y,z'
'x,-y,z'
loop_
_atom_site_label
_atom_site_type_symbol
_atom_site_fract_x
_atom_site_fract_y
_atom_site_fract_z
_atom_site_occupancy
Nd1 Nd 0.000 0.000 0.000 1
Nd2 Nd 0.000 0.500 0.495 1
Nd3 Nd 0.500 0.000 0.271 1
Nd4 Nd 0.500 0.500 0.776 1
Ge1 Ge 0.000 0.000 0.714 1
Ge2 Ge 0.000 0.500 0.217 1
Ge3 Ge 0.500 0.000 0.552 1
Pd1 Pd 0.500 0.500 0.058 1

No. 2
# Ca2InSbRh (PBE, relaxed)
# D(E_F) ... 3.76 states/eV/cell
# E_form (uncorrected) ... -0.429 eV per atom
data_Ca2InSbRh
_chemical_formula_sum 'Ca2 In1 Sb1 Rh1'
_cell_length_a 5.454
_cell_length_b 5.454
_cell_length_c 5.003
_cell_angle_alpha 90.00
_cell_angle_beta 90.00
_cell_angle_gamma 90.00
_symmetry_space_group_name_H-M 'P 4/m m m'
_symmetry_Int_Tables_number 123
_symmetry_space_group_name_Hall '-P 4 2'
loop_
_atom_site_label
_atom_site_type_symbol
_atom_site_fract_x
_atom_site_fract_y
_atom_site_fract_z
_atom_site_occupancy
Ca1 Ca 0.000 0.500 0.000 1
In1 In 0.000 0.000 0.500 1
Sb1 Sb 0.500 0.500 0.500 1
Rh1 Rh 0.500 0.500 0.000 1

No. 3
# CeScGa2Au4 (PBE, relaxed)
# D(E_F) ... 23.13 states/eV/cell
# Energy of formation ... -0.60 eV per atom
data_CeScGa2Au4
_chemical_formula_sum 'Ce3 Sc3 Ga6 Au12'
_cell_length_a 4.6643
_cell_length_b 4.6643
_cell_length_c 25.3775
_cell_angle_alpha 90.00
_cell_angle_beta 90.00
_cell_angle_gamma 120.00
_symmetry_space_group_name_H-M 'R -3 m'
_symmetry_Int_Tables_number 166
_symmetry_space_group_name_Hall '-R 3 2"'
loop_
_atom_site_label
_atom_site_type_symbol
_atom_site_fract_x
_atom_site_fract_y
_atom_site_fract_z
_atom_site_occupancy
Ce1 Ce 0.0000 0.0000 0.0000 1
Sc1 Sc 0.0000 0.0000 0.5000 1
Ga1 Ga 0.0000 0.0000 0.2462 1
Au1 Au 0.0000 0.0000 0.1301 1
Au2 Au 0.0000 0.0000 0.3898 1

No. 4
# Ba6TlRh2Br3 (PBE, relaxed)
# D(E_F) ... 10.31 states/eV/cell
# E_form (uncorrected) ... -0.930 eV per atom
data_Ba6TlRh2Br3
_chemical_formula_sum 'Ba12 Tl2 Rh4 Br6'
_cell_length_a 21.520
_cell_length_b 4.580
_cell_length_c 10.026
_cell_angle_alpha 90.00
_cell_angle_beta 106.80
_cell_angle_gamma 90.00
_symmetry_space_group_name_H-M 'C 1 2/m 1'
_symmetry_Int_Tables_number 12
loop_
_symmetry_equiv_pos_as_xyz
'x,y,z'
'-x,-y,-z'
'-x,y,-z'
'x,-y,z'
'x+1/2,y+1/2,z'
'-x+1/2,-y+1/2,-z'
'-x+1/2,y+1/2,-z'
'x+1/2,-y+1/2,z'
loop_
_atom_site_label
_atom_site_type_symbol
_atom_site_fract_x
_atom_site_fract_y
_atom_site_fract_z
_atom_site_occupancy
Ba1 Ba 0.020 0.000 0.267 1
Ba2 Ba 0.168 0.500 0.118 1
Ba3 Ba 0.179 0.500 0.563 1
Tl1 Tl 0.000 0.500 0.000 1
Rh1 Rh 0.165 0.000 0.333 1
Br1 Br 0.000 0.500 0.500 1
Br2 Br 0.168 0.000 0.829 1

No. 5
# Pr12HoTm3 (PBE, relaxed)
# D(E_F) ... 22.83 states/eV/cell
# Energy of formation ... 0.01 eV per atom
data_Pr12HoTm3
_chemical_formula_sum 'Pr12 Ho1 Tm3'
_cell_length_a 5.175
_cell_length_b 5.175
_cell_length_c 20.648
_cell_angle_alpha 90.00
_cell_angle_beta 90.00
_cell_angle_gamma 90.00
_symmetry_space_group_name_H-M 'P 4/m m m'
_symmetry_Int_Tables_number 123
_symmetry_space_group_name_Hall '-P 4 2'
loop_
_atom_site_label
_atom_site_type_symbol
_atom_site_fract_x
_atom_site_fract_y
_atom_site_fract_z
_atom_site_occupancy
Pr1 Pr 0.000 0.000 0.000 1
Pr2 Pr 0.000 0.000 0.250 1
Pr3 Pr 0.000 0.000 0.500 1
Pr4 Pr 0.000 0.500 0.125 1
Pr5 Pr 0.000 0.500 0.375 1
Ho1 Ho 0.500 0.500 0.000 1
Tm1 Tm 0.500 0.500 0.250 1
Tm2 Tm 0.500 0.500 0.500 1

No. 6
# Ag3BrCl4 (PBE, relaxed)
# D(E_F) ... 28.72 states/eV/cell
# E_form (uncorrected) ... -0.349 eV per atom
data_Ag3BrCl4
_chemical_formula_sum 'Ag12 Br4 Cl16'
_cell_length_a 13.006
_cell_length_b 6.695
_cell_length_c 11.153
_cell_angle_alpha 90.00
_cell_angle_beta 115.04
_cell_angle_gamma 90.00
_symmetry_space_group_name_H-M 'C 1 c 1'
_symmetry_Int_Tables_number 9
loop_
_symmetry_equiv_pos_as_xyz
'x,y,z'
'x,-y,z+1/2'
'x+1/2,y+1/2,z'
'x+1/2,-y+1/2,z+1/2'
loop_
_atom_site_label
_atom_site_type_symbol
_atom_site_fract_x
_atom_site_fract_y
_atom_site_fract_z
_atom_site_occupancy
Ag1 Ag 0.000 0.005 0.000 1
Ag2 Ag 0.101 0.479 0.690 1
Ag3 Ag 0.382 0.007 0.296 1
Br1 Br 0.298 0.359 0.335 1
Cl1 Cl 0.074 0.309 0.944 1
Cl2 Cl 0.190 0.151 0.659 1
Cl3 Cl 0.416 0.200 0.044 1
Cl4 Cl 0.497 0.256 0.740 1

No. 7
# Ti2ReSi (PBE, relaxed)
# D(E_F) ... 3.54 states/eV/cell
# E_form (uncorrected) ... -0.528 eV per atom
data_Ti2ReSi
_chemical_formula_sum 'Ti2 Re1 Si1'
_cell_length_a 3.252
_cell_length_b 3.252
_cell_length_c 5.624
_cell_angle_alpha 90.00
_cell_angle_beta 90.00
_cell_angle_gamma 90.00
_symmetry_space_group_name_H-M 'P 4/m m m'
_symmetry_Int_Tables_number 123
_symmetry_space_group_name_Hall '-P 4 2'
loop_
_atom_site_label
_atom_site_type_symbol
_atom_site_fract_x
_atom_site_fract_y
_atom_site_fract_z
_atom_site_occupancy
Ti1 Ti 0.000 0.000 0.245 1
Re1 Re 0.500 0.500 0.500 1
Si1 Si 0.500 0.500 0.000 1

No. 8
# PrGe4Pd2 (PBE, relaxed)
# D(E_F) ... 12.07 states/eV/cell
# Energy of formation ... -0.53 eV per atom
data_PrGe4Pd2
_chemical_formula_sum 'Pr4 Ge16 Pd8'
_cell_length_a 17.595
_cell_length_b 4.440
_cell_length_c 6.844
_cell_angle_alpha 90.00
_cell_angle_beta 90.00
_cell_angle_gamma 90.00
_symmetry_space_group_name_H-M 'P n m a'
_symmetry_Int_Tables_number 62
loop_
_symmetry_equiv_pos_as_xyz
'x,y,z'
'-x,-y,-z'
'-x+1/2,-y,z+1/2'
'x+1/2,y,-z+1/2'
'x+1/2,-y+1/2,-z+1/2'
'-x+1/2,y+1/2,z+1/2'
'-x,y+1/2,-z'
'x,-y+1/2,z'
loop_
_atom_site_label
_atom_site_type_symbol
_atom_site_fract_x
_atom_site_fract_y
_atom_site_fract_z
_atom_site_occupancy
Pr1 Pr 0.142 0.250 0.014 1
Ge1 Ge 0.036 0.750 0.853 1
Ge2 Ge 0.063 0.250 0.470 1
Ge3 Ge 0.178 0.750 0.325 1
Ge4 Ge 0.193 0.750 0.730 1
Pd1 Pd 0.029 0.750 0.238 1
Pd2 Pd 0.210 0.250 0.535 1

No. 9
# Zn3PbS (PBE, relaxed)
# D(E_F) ... 1.45 states/eV/cell
# Energy relative to the lowest polymorph listed for this composition ... 0.0000 eV per atom
# E_form (uncorrected) ... 0.296 eV per atom
data_Zn3PbS
_chemical_formula_sum 'Zn3 Pb1 S1'
_cell_length_a 4.835
_cell_length_b 4.835
_cell_length_c 4.835
_cell_angle_alpha 90.00
_cell_angle_beta 90.00
_cell_angle_gamma 90.00
_symmetry_space_group_name_H-M 'P m -3 m'
_symmetry_Int_Tables_number 221
_symmetry_space_group_name_Hall '-P 4 2 3'
loop_
_atom_site_label
_atom_site_type_symbol
_atom_site_fract_x
_atom_site_fract_y
_atom_site_fract_z
_atom_site_occupancy
Zn1 Zn 0.000 0.000 0.500 1
Pb1 Pb 0.500 0.500 0.500 1
S1 S 0.000 0.000 0.000 1

No. 10
# TlMo2Ru (PBE, relaxed)
# D(E_F) ... 4.17 states/eV/cell
# Energy relative to the lowest polymorph listed for this composition ... 0.0850 eV per atom
# Energy of formation ... 0.48 eV per atom
data_TlMo2Ru
_chemical_formula_sum 'Tl1 Mo2 Ru1'
_cell_length_a 2.923
_cell_length_b 4.005
_cell_length_c 5.926
_cell_angle_alpha 90.00
_cell_angle_beta 90.00
_cell_angle_gamma 90.00
_symmetry_space_group_name_H-M 'P m m 2'
_symmetry_Int_Tables_number 25
loop_
_symmetry_equiv_pos_as_xyz
'x,y,z'
'-x,-y,z'
'-x,y,z'
'x,-y,z'
loop_
_atom_site_label
_atom_site_type_symbol
_atom_site_fract_x
_atom_site_fract_y
_atom_site_fract_z
_atom_site_occupancy
Tl1 Tl 0.000 0.000 0.000 1
Mo1 Mo 0.000 0.000 0.508 1
Mo2 Mo 0.500 0.500 0.294 1
Ru1 Ru 0.500 0.500 0.709 1

No. 11
# Ti2Nb2Ni2C (PBE, relaxed)
# D(E_F) ... 66.48 states/eV/cell
# Energy of formation ... -0.45 eV per atom
data_Ti2Nb2Ni2C
_chemical_formula_sum 'Ti16 Nb16 Ni16 C8'
_cell_length_a 8.208
_cell_length_b 8.208
_cell_length_c 11.505
_cell_angle_alpha 90.00
_cell_angle_beta 90.00
_cell_angle_gamma 90.00
_symmetry_space_group_name_H-M 'I -4 m 2'
_symmetry_Int_Tables_number 119
_symmetry_space_group_name_Hall 'I -4 -2'
loop_
_atom_site_label
_atom_site_type_symbol
_atom_site_fract_x
_atom_site_fract_y
_atom_site_fract_z
_atom_site_occupancy
Ti1 Ti 0.000 0.243 0.132 1
Ti2 Ti 0.187 0.187 0.500 1
Nb1 Nb 0.000 0.000 0.322 1
Nb2 Nb 0.000 0.500 0.561 1
Nb3 Nb 0.181 0.319 0.750 1
Ni1 Ni 0.000 0.161 0.924 1
Ni2 Ni 0.000 0.339 0.338 1
C1 C 0.000 0.250 0.620 1

No. 12
# TeP2W (PBE, relaxed)
# D(E_F) ... 5.62 states/eV/cell
# E_form (uncorrected) ... 0.723 eV per atom
data_TeP2W
_chemical_formula_sum 'Te2 P4 W2'
_cell_length_a 3.122
_cell_length_b 5.428
_cell_length_c 8.955
_cell_angle_alpha 90.00
_cell_angle_beta 90.00
_cell_angle_gamma 90.00
_symmetry_space_group_name_H-M 'C m m 2'
_symmetry_Int_Tables_number 35
loop_
_symmetry_equiv_pos_as_xyz
'x,y,z'
'-x,-y,z'
'-x,y,z'
'x,-y,z'
'x+1/2,y+1/2,z'
'-x+1/2,-y+1/2,z'
'-x+1/2,y+1/2,z'
'x+1/2,-y+1/2,z'
loop_
_atom_site_label
_atom_site_type_symbol
_atom_site_fract_x
_atom_site_fract_y
_atom_site_fract_z
_atom_site_occupancy
Te1 Te 0.000 0.000 0.000 1
P1 P 0.000 0.000 0.523 1
P2 P 0.000 0.500 0.343 1
W1 W 0.000 0.500 0.739 1

The lowest D(E_F) belongs to which entry? Zn3PbS